[1]
{"formula": "Tl16Hg12Pd", "functional": "PBE-GGA", "state": "relaxed", "lattice": [[-6.016, 5.394, -6.316], [-2.681, -9.893, -0.365], [-1.022, 3.494, 9.547]], "species": ["Hg", "Hg", "Tl", "Tl", "Tl", "Hg", "Hg", "Tl", "Tl", "Hg", "Tl", "Hg", "Tl", "Tl", "Tl", "Hg", "Pd", "Hg", "Hg", "Tl", "Tl", "Tl", "Tl", "Tl", "Hg", "Hg", "Tl", "Hg", "Tl"], "fractional_positions": [[0.201, 0.771, 0.813], [0.340, 0.149, 0.979], [0.988, 0.387, 0.675], [0.305, 0.305, 0.699], [0.427, 0.645, 0.037], [0.647, 0.836, 0.643], [0.820, 0.820, 0.188], [0.632, 0.980, 0.994], [0.432, 0.432, 0.326], [0.149, 0.340, 0.979], [0.576, 0.290, 0.577], [0.836, 0.647, 0.643], [0.312, 0.713, 0.317], [0.994, 0.683, 0.407], [0.387, 0.988, 0.675], [0.373, 0.979, 0.179], [0.694, 0.694, 0.361], [0.000, 0.190, 0.355], [0.979, 0.373, 0.179], [0.290, 0.576, 0.577], [0.006, 0.006, 0.012], [0.645, 0.427, 0.037], [0.001, 0.001, 0.648], [0.713, 0.312, 0.317], [0.630, 0.630, 0.815], [0.771, 0.201, 0.813], [0.980, 0.632, 0.994], [0.190, 0.000, 0.355], [0.683, 0.994, 0.407]], "formation_energy_ev_per_fu": -0.108, "magmom_total_mub_per_atom": 0.000}



[2]
{"formula": "CaPr2Ge2", "functional": "PBE-GGA", "state": "relaxed", "lattice": [[-1.275, -4.280, 0.174], [0.417, -0.442, -7.794], [7.481, -2.208, 0.526]], "species": ["Pr", "Ge", "Pr", "Ca", "Ge", "Ge", "Pr", "Ca", "Ge", "Pr"], "fractional_positions": [[0.500, 0.677, 0.823], [0.000, 0.883, 0.617], [0.500, 0.177, 0.677], [0.000, 0.000, 0.000], [0.000, 0.383, 0.883], [0.000, 0.117, 0.383], [0.500, 0.823, 0.323], [0.000, 0.500, 0.500], [0.000, 0.617, 0.117], [0.500, 0.323, 0.177]], "formation_energy_ev_per_fu": -3.796, "magmom_total_mub_per_atom": 0.000}



[3]
{"formula": "CrIn2Te", "functional": "PBE-GGA", "state": "relaxed", "lattice": [[-7.927, -0.118, -1.219], [-6.356, -1.664, -4.600], [-6.823, -3.998, -1.340]], "species": ["Cr", "Te", "In", "In"], "fractional_positions": [[0.750, 0.750, 0.750], [0.250, 0.250, 0.250], [0.496, 0.496, 0.496], [0.004, 0.004, 0.004]], "raw_formation_energy_mev_per_atom": 307.4, "magmom_total_mub_per_atom": 1.178}



[4]
{"formula": "LiNCl2", "functional": "PBE-GGA", "state": "relaxed", "lattice": [[1.115, 0.121, 4.506], [-2.257, -2.706, 3.023], [2.169, -3.611, 1.952]], "species": ["Li", "N", "Cl", "Cl"], "fractional_positions": [[0.000, 0.000, 0.000], [0.500, 0.500, 0.500], [0.250, 0.250, 0.250], [0.750, 0.750, 0.750]], "e_above_lowest_polymorph_ev_per_atom": 0.845, "raw_formation_energy_mev_per_atom": 715.3, "magmom_total_mub_per_atom": 0.500}



[5]
{"formula": "La3Np2UN6", "functional": "PBE-GGA", "state": "relaxed", "lattice": [[-2.574, -5.284, -1.769], [4.866, -0.057, 3.741], [-4.371, 1.963, 4.040]], "species": ["Np", "U", "N", "La", "N", "La", "La", "N", "N", "Np", "N", "N"], "fractional_positions": [[0.334, 0.666, 0.000], [0.000, 0.000, 0.000], [0.609, 0.933, 0.799], [0.833, 0.167, 0.500], [0.391, 0.067, 0.201], [0.500, 0.500, 0.500], [0.167, 0.833, 0.500], [0.743, 0.743, 0.203], [0.067, 0.391, 0.201], [0.666, 0.334, 0.000], [0.257, 0.257, 0.797], [0.933, 0.609, 0.799]], "raw_formation_energy_mev_per_atom": -1291.1, "magmom_total_mub_per_atom": 0.556}



[6]
{"formula": "CaGaSb", "functional": "PBE-GGA", "state": "relaxed", "lattice": [[4.158, 0.000, -0.917], [0.000, 4.759, 0.000], [-0.281, 0.000, 8.612]], "species": ["Sb", "Ca", "Ga", "Sb", "Ga", "Ca"], "fractional_positions": [[0.141, 0.250, 0.282], [0.666, 0.750, 0.331], [0.468, 0.750, 0.936], [0.859, 0.750, 0.718], [0.532, 0.250, 0.064], [0.334, 0.250, 0.669]], "e_above_lowest_polymorph_ev_per_atom": 0.000, "raw_formation_energy_mev_per_atom": -660.8, "magmom_total_mub_per_atom": 0.000}



[7]
{"formula": "Hf6PbC2", "functional": "PBE-GGA", "state": "relaxed", "lattice": [[-4.522, -0.211, -0.603], [-2.333, -4.880, 1.900], [-3.452, 1.351, 8.119]], "species": ["Hf", "Hf", "Pb", "Hf", "Hf", "C", "C", "Hf", "Hf"], "fractional_positions": [[0.007, 0.820, 0.167], [0.993, 0.180, 0.833], [0.000, 0.500, 0.500], [0.343, 0.611, 0.703], [0.322, 0.300, 0.055], [0.834, 0.253, 0.080], [0.166, 0.747, 0.920], [0.678, 0.700, 0.945], [0.657, 0.389, 0.297]], "formation_energy_ev_per_fu": -1.575, "magmom_total_mub_per_atom": 0.000}



[8]
{"formula": "PmSeS", "functional": "PBE-GGA", "state": "relaxed", "lattice": [[-3.277, 0.642, -2.426], [0.659, -4.139, -1.985], [-2.704, 0.369, 3.749]], "species": ["Se", "Pm", "S"], "fractional_positions": [[0.667, 0.667, 0.333], [0.166, 0.000, 0.000], [0.167, 0.333, 0.667]], "e_above_lowest_polymorph_ev_per_atom": 0.472, "raw_formation_energy_mev_per_atom": -1216.0, "magmom_total_mub_per_atom": 0.000}



[9]
{"formula": "KMg5Tl6", "functional": "PBE-GGA", "state": "relaxed", "lattice": [[-2.939, 4.383, -0.584], [-4.301, -2.104, 5.852], [8.822, 2.242, 2.403]], "species": ["Mg", "Mg", "K", "Tl", "Tl", "Mg", "Mg", "Tl", "Mg", "Tl", "Tl", "Tl"], "fractional_positions": [[0.682, 0.166, 0.333], [0.663, 0.671, 0.342], [0.000, 0.000, 0.000], [0.830, 0.091, 0.656], [0.170, 0.909, 0.344], [0.000, 0.500, 0.000], [0.318, 0.834, 0.667], [0.500, 0.275, 0.001], [0.337, 0.329, 0.658], [0.500, 0.725, 0.999], [0.170, 0.435, 0.344], [0.830, 0.565, 0.656]], "formation_energy_ev_per_fu": -0.271, "magmom_total_mub_per_atom": 0.000}



[10]
{"formula": "Zr2Ti2Bi", "functional": "PBE-GGA", "state": "relaxed", "lattice": [[4.349, 0.292, 0.001], [-1.596, 4.057, 0.001], [-0.001, -0.001, 6.318]], "species": ["Bi", "Zr", "Zr", "Ti", "Ti"], "fractional_positions": [[0.000, 0.000, 0.000], [0.500, 0.500, 0.263], [0.500, 0.500, 0.737], [0.846, 0.154, 0.500], [0.154, 0.846, 0.500]], "formation_energy_ev_per_fu": 0.681, "e_above_lowest_polymorph_ev_per_atom": 0.176, "magmom_total_mub_per_atom": 0.000}



[11]
{"formula": "RbNaMgTl", "functional": "PBE-GGA", "state": "relaxed", "lattice": [[5.762, 0.000, 0.000], [2.881, 4.990, 0.000], [2.881, 1.663, 4.705]], "species": ["Rb", "Na", "Tl", "Mg"], "fractional_positions": [[0.000, 0.000, 0.000], [0.250, 0.250, 0.250], [0.500, 0.500, 0.500], [0.750, 0.750, 0.750]], "formation_energy_ev_per_fu": 0.387, "magmom_total_mub_per_atom": 0.000}



[12]
{"formula": "BaEuDy2", "functional": "PBE-GGA", "state": "relaxed", "lattice": [[3.659, 0.000, 0.000], [1.830, 3.169, 0.000], [1.830, 1.056, 13.207]], "species": ["Ba", "Dy", "Eu", "Dy"], "fractional_positions": [[0.000, 0.000, 0.000], [0.909, 0.909, 0.273], [0.500, 0.500, 0.500], [0.091, 0.091, 0.727]], "formation_energy_ev_per_fu": 1.178, "magmom_total_mub_per_atom": 1.971}



[13]
{"formula": "Ac2PmAg5", "functional": "PBE-GGA", "state": "relaxed", "lattice": [[5.383, 0.000, 0.000], [0.000, 5.383, 0.000], [-2.691, -2.691, 7.365]], "species": ["Ag", "Ag", "Ac", "Ag", "Ag", "Pm", "Ag", "Ac"], "fractional_positions": [[0.395, 0.895, 0.790], [0.105, 0.605, 0.210], [0.727, 0.727, 0.453], [0.605, 0.105, 0.210], [0.895, 0.395, 0.790], [0.000, 0.000, 0.000], [0.500, 0.500, 0.000], [0.273, 0.273, 0.547]], "formation_energy_ev_per_fu": -1.447, "magmom_total_mub_per_atom": 0.000}



[14]
{"formula": "KBr2", "functional": "PBE-GGA", "state": "relaxed", "lattice": [[3.075, -5.326, 0.000], [3.075, 5.326, 0.000], [0.000, 0.000, 6.123]], "species": ["Br", "Br", "K", "K", "Br", "Br"], "fractional_positions": [[0.333, 0.667, 0.250], [0.667, 0.333, 0.750], [0.667, 0.333, 0.250], [0.333, 0.667, 0.750], [0.000, 0.000, 0.500], [0.000, 0.000, 0.000]], "e_above_lowest_polymorph_ev_per_atom": 0.193, "raw_formation_energy_mev_per_atom": -963.7, "magmom_total_mub_per_atom": 0.142}



[15]
{"formula": "TiBeAlNi", "functional": "PBE-GGA", "state": "relaxed", "lattice": [[4.125, 0.000, 0.000], [2.063, 3.573, 0.000], [2.063, 1.191, 3.368]], "species": ["Ni", "Be", "Al", "Ti"], "fractional_positions": [[0.000, 0.000, 0.000], [0.500, 0.500, 0.500], [0.250, 0.250, 0.250], [0.750, 0.750, 0.750]], "formation_energy_ev_per_fu": -1.683, "magmom_total_mub_per_atom": 0.000}



[16]
{"formula": "SmDySI", "functional": "PBE-GGA", "state": "relaxed", "lattice": [[3.950, -0.001, 0.002], [-1.975, 3.422, 0.000], [-1.970, -1.137, 7.781]], "species": ["I", "Dy", "Sm", "S"], "fractional_positions": [[0.962, 0.379, 0.357], [0.099, 0.947, 0.062], [0.508, 0.152, 0.674], [0.309, 0.552, 0.876]], "raw_formation_energy_mev_per_atom": -1376.1, "magmom_total_mub_per_atom": 0.000}



[17]
{"formula": "ReBW2", "functional": "PBE-GGA", "state": "relaxed", "lattice": [[-0.855, -2.580, -1.240], [3.800, -2.750, 3.102], [-5.270, -0.126, 3.899]], "species": ["W", "W", "B", "Re", "W", "Re", "B", "W"], "fractional_positions": [[0.250, 0.393, 0.129], [0.250, 0.752, 0.536], [0.750, 0.689, 0.270], [0.250, 0.926, 0.158], [0.750, 0.607, 0.871], [0.750, 0.074, 0.842], [0.250, 0.311, 0.730], [0.750, 0.248, 0.464]], "formation_energy_ev_per_fu": -0.235, "magmom_total_mub_per_atom": 0.000}



[18]
{"formula": "La2NpAs3Ir4", "functional": "PBE-GGA", "state": "relaxed", "lattice": [[-2.446, 0.987, 3.270], [-3.415, -0.625, -2.365], [-0.186, -10.907, 3.153]], "species": ["Ir", "As", "Ir", "Np", "Ir", "As", "Ir", "La", "As", "La"], "fractional_positions": [[0.500, 0.500, 0.000], [0.000, 0.000, 0.500], [0.000, 0.000, 0.000], [0.500, 0.500, 0.500], [0.500, 0.000, 0.655], [0.500, 0.000, 0.873], [0.000, 0.500, 0.345], [0.000, 0.500, 0.770], [0.000, 0.500, 0.127], [0.500, 0.000, 0.230]], "formation_energy_ev_per_fu": -7.122, "magmom_total_mub_per_atom": 0.391}



[19]
{"formula": "Ti2GaCl2", "functional": "PBE-GGA", "state": "relaxed", "lattice": [[7.483, 0.000, 0.000], [0.000, 7.483, 0.000], [0.000, 0.000, 2.981]], "species": ["Ti", "Cl", "Cl", "Ga", "Ti", "Cl", "Ti", "Ti", "Cl", "Ga"], "fractional_positions": [[0.168, 0.332, 0.000], [0.631, 0.869, 0.500], [0.369, 0.131, 0.500], [0.000, 0.000, 0.000], [0.332, 0.832, 0.000], [0.131, 0.631, 0.500], [0.832, 0.668, 0.000], [0.668, 0.168, 0.000], [0.869, 0.369, 0.500], [0.500, 0.500, 0.000]], "e_above_lowest_polymorph_ev_per_atom": 0.079, "raw_formation_energy_mev_per_atom": -287.4, "magmom_total_mub_per_atom": 0.000}



[20]
{"formula": "Bi3SbC", "functional": "PBE-GGA", "state": "relaxed", "lattice": [[-5.820, -0.040, -0.794], [-0.219, -5.560, 1.883], [-0.764, 1.895, 5.507]], "species": ["C", "Bi", "Bi", "Bi", "Sb"], "fractional_positions": [[0.500, 0.500, 0.500], [0.500, 0.000, 0.000], [0.000, 0.000, 0.500], [0.000, 0.500, 0.000], [0.000, 0.000, 0.000]], "e_above_lowest_polymorph_ev_per_atom": 1.179, "raw_formation_energy_mev_per_atom": 2076.9, "magmom_total_mub_per_atom": 0.357}



| no. | N(E_F) (states/eV/atom) |
| --- | --- |
| 1 | 0.363 |
| 2 | 0.479 |
| 3 | 0.397 |
| 4 | 0.854 |
| 5 | 1.570 |
| 6 | 0.134 |
| 7 | 0.301 |
| 8 | 0.978 |
| 9 | 0.421 |
| 10 | 1.081 |
| 11 | 0.915 |
| 12 | 1.433 |
| 13 | 0.825 |
| 14 | 1.866 |
| 15 | 0.482 |
| 16 | 0.781 |
| 17 | 0.532 |
| 18 | 0.764 |
| 19 | 0.646 |
| 20 | 1.682 |